## CrSi3P5 (GGA-PBE)

Data for a geometry-optimized CrSi3P5 structure.

a = 6.8933 Å, b = 6.8933 Å, c = 6.6942 Å
α = 90.00°, β = 90.00°, γ = 120.00°
Closest atoms and distances in Å follow each position.
Space group P6_3/mcm (No. 193)
Symmetry-distinct sites (fractional):
Cr 0.0000 0.0000 0.0000 x2  6 P 2.36
Si 0.0000 0.4253 0.2500 x6  3 P 2.30-2.55
P 0.0000 0.2414 0.7500 x6  3 Si 2.30-2.55, 2 Cr 2.36
P 0.3333 0.6667 0.0000 x4  6 Si 2.65

Calculated values
ρ	3.510	Mg/m³



## CrSi2P2 (GGA-PBE)

Data for a geometry-optimized CrSi2P2 structure.

a = 6.9147 Å, b = 6.9147 Å, c = 3.5828 Å
α = 90.00°, β = 90.00°, γ = 90.00°
Closest atoms and distances in Å follow each position.
Space group P4/mbm (No. 127)
Symmetry-distinct sites (fractional):
Cr 0.0000 0.0000 0.0000 x2  4 P 2.45
Si 0.1193 0.3807 0.5000 x4  2 P 2.24, 1 Si 2.33
P 0.2427 0.7427 0.0000 x4  2 Si 2.24, 2 Cr 2.45

Calculated values
ρ	3.298	Mg/m³
energy above the most stable polymorph in this dataset	0	meV per atom



Calculated values (eV per atom) of E for the records, taken in order: -5.554; -5.955.
Calculated values (meV per atom) of E_form (uncorrected) for the records, taken in order: 328; 303.